11
Lattice="7.2358 0.0000 0.0000 -3.6179 6.2664 0.0000 0.0000 0.0000 3.8464" Properties=species:S:1:pos:R:3 comment="PBE PuGe4Rh6, optimized geometry" e_form_kj_per_mol_fu=-689 de_polymorph_mev_per_atom=0 m_tot_mub_per_cell=5.01 vol_a3_per_cell=174 spacegroup="No. 187" pbc="T T T"
Pu 0.0000 0.0000 0.0000
Ge 0.0000 4.1776 0.0000
Ge 2.1415 1.2364 1.9232
Ge 5.0944 1.2364 1.9232
Ge 3.6179 3.7937 1.9232
Rh 0.0000 2.4933 1.9232
Rh -1.4586 5.0197 1.9232
Rh 3.6179 0.4160 0.0000
Rh 2.1692 2.9252 0.0000
Rh 1.4586 5.0197 1.9232
Rh 5.0666 2.9252 0.0000